# 1
Entry from the Alexandria database: an optimized crystal structure of InPt3 (GGA-PBE).

Results
Space group: No. 187
Raw total energy in eV per atom: -5.2534
D(E_F) in states/eV per cell: 4.05
Total magnetic moment in μB per cell: 0.000

Cell lengths 2.9735, 2.9735, 8.8745 Å; angles 90.00, 90.00, 120.00 degrees
Element x y z (fractional)
In1 0.0000 0.0000 0.0000
Pt1 0.0000 0.0000 0.5000
Pt2 0.3333 0.6667 0.2448
Pt3 0.3333 0.6667 0.7552


# 2
Entry from the Alexandria database: an optimized crystal structure of In3Pt (GGA-PBE).

Results
Space group: No. 225
Raw total energy in eV per atom: -3.6012
D(E_F) in states/eV per cell: 1.21
Total magnetic moment in μB per cell: 0.000

Cell lengths 4.9971, 4.9971, 4.9971 Å; angles 60.00, 60.00, 60.00 degrees
Element x y z (fractional)
In1 0.0000 0.0000 0.0000
In2 0.2500 0.2500 0.2500
In3 0.7500 0.7500 0.7500
Pt1 0.5000 0.5000 0.5000


# 3
Entry from the Alexandria database: an optimized crystal structure of In5Pt (GGA-PBE).

Results
Space group: No. 123
Raw total energy in eV per atom: -3.3965
D(E_F) in states/eV per cell: 3.33
Total magnetic moment in μB per cell: 0.000

Cell lengths 3.2450, 3.2450, 13.8301 Å; angles 90.00, 90.00, 90.00 degrees
Element x y z (fractional)
In1 0.0000 0.0000 0.0000
In2 0.0000 0.0000 0.3739
In3 0.0000 0.0000 0.6261
In4 0.5000 0.5000 0.1885
In5 0.5000 0.5000 0.8115
Pt1 0.5000 0.5000 0.5000


# 4
Entry from the Alexandria database: an optimized crystal structure of InPt2 (GGA-PBE).

Results
Space group: No. 205
Raw total energy in eV per atom: -4.7353
D(E_F) in states/eV per cell: 4.85
Total magnetic moment in μB per cell: 0.000

Cell lengths 6.3359, 6.3359, 6.3359 Å; angles 90.00, 90.00, 90.00 degrees
Element x y z (fractional)
In1 0.0000 0.0000 0.0000
In2 0.0000 0.5000 0.5000
In3 0.5000 0.0000 0.5000
In4 0.5000 0.5000 0.0000
Pt1 0.1172 0.6172 0.8828
Pt2 0.1172 0.8828 0.3828
Pt3 0.3828 0.1172 0.8828
Pt4 0.3828 0.3828 0.3828
Pt5 0.6172 0.6172 0.6172
Pt6 0.6172 0.8828 0.1172
Pt7 0.8828 0.1172 0.6172
Pt8 0.8828 0.3828 0.1172


# 5
Entry from the Alexandria database: an optimized crystal structure of In8Pt (GGA-PBE).

Results
Space group: No. 139
Raw total energy in eV per atom: -3.1256
D(E_F) in states/eV per cell: 3.63
Total magnetic moment in μB per cell: 0.000

Cell lengths 9.0360, 9.0360, 9.0360 Å; angles 91.65, 91.65, 160.47 degrees
Element x y z (fractional)
In1 0.0000 0.3294 0.3294
In2 0.0000 0.6706 0.6706
In3 0.3294 0.0000 0.3294
In4 0.3620 0.3620 0.7240
In5 0.3620 0.6380 0.0000
In6 0.6380 0.3620 0.0000
In7 0.6380 0.6380 0.2760
In8 0.6706 0.0000 0.6706
Pt1 0.0000 0.0000 0.0000


# 6
Entry from the Alexandria database: an optimized crystal structure of In3Pt4 (GGA-PBE).

Results
Space group: No. 139
Raw total energy in eV per atom: -4.8943
D(E_F) in states/eV per cell: 3.63
Total magnetic moment in μB per cell: 0.000

Cell lengths 10.3265, 10.3265, 10.3265 Å; angles 160.00, 160.00, 28.43 degrees
Element x y z (fractional)
In1 0.0000 0.0000 0.0000
In2 0.2956 0.2956 0.0000
In3 0.7044 0.7044 0.0000
Pt1 0.1499 0.1499 0.0000
Pt2 0.4320 0.4320 0.0000
Pt3 0.5680 0.5680 0.0000
Pt4 0.8501 0.8501 0.0000


# 7
Entry from the Alexandria database: an optimized crystal structure of InPt2 (GGA-PBE).

Results
Space group: No. 141
Raw total energy in eV per atom: -5.1153
D(E_F) in states/eV per cell: 2.81
Total magnetic moment in μB per cell: 0.000

Cell lengths 12.2545, 12.2545, 12.2545 Å; angles 166.01, 166.01, 19.83 degrees
Element x y z (fractional)
In1 0.3750 0.6250 0.7500
In2 0.6250 0.3750 0.2500
Pt1 0.0481 0.7981 0.2500
Pt2 0.2019 0.9519 0.2500
Pt3 0.7981 0.0481 0.7500
Pt4 0.9519 0.2019 0.7500


# 8
Entry from the Alexandria database: an optimized crystal structure of In4Pt (GGA-PBE).

Results
Space group: No. 87
Raw total energy in eV per atom: -3.4374
D(E_F) in states/eV per cell: 2.45
Total magnetic moment in μB per cell: 0.000

Cell lengths 5.4191, 5.4191, 5.4191 Å; angles 101.52, 101.52, 126.92 degrees
Element x y z (fractional)
In1 0.1222 0.6984 0.8207
In2 0.3016 0.1222 0.4238
In3 0.6984 0.8778 0.5762
In4 0.8778 0.3016 0.1793
Pt1 0.5000 0.5000 0.0000


# 9
Entry from the Alexandria database: an optimized crystal structure of In2Pt (GGA-PBE).

Results
Space group: No. 164
Raw total energy in eV per atom: -4.0295
D(E_F) in states/eV per cell: 1.70
Total magnetic moment in μB per cell: 0.000

Cell lengths 3.5961, 3.5961, 6.1826 Å; angles 90.00, 90.00, 120.00 degrees
Element x y z (fractional)
In1 0.3333 0.6667 0.2081
In2 0.6667 0.3333 0.7919
Pt1 0.0000 0.0000 0.5000


# 10
Entry from the Alexandria database: an optimized crystal structure of In3Pt (GGA-PBE).

Results
Space group: No. 187
Raw total energy in eV per atom: -3.6867
D(E_F) in states/eV per cell: 1.70
Total magnetic moment in μB per cell: 0.000

Cell lengths 3.6028, 3.6028, 8.7253 Å; angles 90.00, 90.00, 120.00 degrees
Element x y z (fractional)
In1 0.0000 0.0000 0.0000
In2 0.6667 0.3333 0.2941
In3 0.6667 0.3333 0.7059
Pt1 0.0000 0.0000 0.5000


# 11
Entry from the Alexandria database: an optimized crystal structure of InPt2 (GGA-PBE).

Results
Space group: No. 74
Raw total energy in eV per atom: -5.1540
D(E_F) in states/eV per cell: 3.14
Total magnetic moment in μB per cell: 0.000

Cell lengths 10.2388, 10.2388, 10.2388 Å; angles 163.70, 158.20, 27.34 degrees
Element x y z (fractional)
In1 0.3692 0.1192 0.2500
In2 0.6308 0.8808 0.7500
Pt1 0.0569 0.3069 0.7500
Pt2 0.2017 0.4517 0.7500
Pt3 0.7983 0.5483 0.2500
Pt4 0.9431 0.6931 0.2500


# 12
Entry from the Alexandria database: an optimized crystal structure of In3Pt (GGA-PBE).

Results
Space group: No. 166
Raw total energy in eV per atom: -3.5508
D(E_F) in states/eV per cell: 2.28
Total magnetic moment in μB per cell: 0.000

Cell lengths 5.4273, 5.4273, 5.4273 Å; angles 114.74, 114.74, 114.74 degrees
Element x y z (fractional)
In1 0.0000 0.5000 0.5000
In2 0.5000 0.0000 0.5000
In3 0.5000 0.5000 0.0000
Pt1 0.0000 0.0000 0.0000